Density functional theory data (GGA-PBE) for a relaxed NdSmCdSi crystal.

Cell: 7.408 7.408 7.408 Å, 90.00 90.00 90.00°
Space group F-43m (No. 216)
Inequivalent atoms, fractional coordinates:
Nd1 0.000 0.000 0.000 (multiplicity 4)
Sm1 0.000 0.000 0.500 (multiplicity 4)
Cd1 0.250 0.250 0.750 (multiplicity 4)
Si1 0.250 0.250 0.250 (multiplicity 4)

Calculated volume in Å³/atom: 25.41
Raw formation energy in kJ/mol of atoms: -37.4
E_tot in eV/atom: -4.34

Density functional theory data (GGA-PBE) for a relaxed SrNdCdSi crystal.

Cell: 7.620 7.620 7.620 Å, 90.00 90.00 90.00°
Space group F-43m (No. 216)
Inequivalent atoms, fractional coordinates:
Sr1 0.000 0.000 0.000 (multiplicity 4)
Nd1 0.000 0.000 0.500 (multiplicity 4)
Cd1 0.250 0.250 0.250 (multiplicity 4)
Si1 0.250 0.250 0.750 (multiplicity 4)

Calculated volume in Å³/atom: 27.65
Raw formation energy in kJ/mol of atoms: -27.0
E_tot in eV/atom: -3.48

Density functional theory data (GGA-PBE) for a relaxed NdYCdSi crystal.

Cell: 7.343 7.343 7.343 Å, 90.00 90.00 90.00°
Space group F-43m (No. 216)
Inequivalent atoms, fractional coordinates:
Nd1 0.000 0.000 0.000 (multiplicity 4)
Y1 0.000 0.000 0.500 (multiplicity 4)
Cd1 0.250 0.250 0.250 (multiplicity 4)
Si1 0.250 0.250 0.750 (multiplicity 4)

Calculated volume in Å³/atom: 24.75
Raw formation energy in kJ/mol of atoms: -38.2
E_tot in eV/atom: -4.79

Density functional theory data (GGA-PBE) for a relaxed Nd7SmCd4 crystal.

Cell: 15.099 5.885 10.016 Å, 90.00 122.08 90.00°
Space group C2/m (No. 12)
Inequivalent atoms, fractional coordinates:
Nd1 0.000 0.000 0.000 (multiplicity 2)
Nd2 0.070 0.500 0.410 (multiplicity 4)
Nd3 0.204 0.500 0.882 (multiplicity 4)
Nd4 0.236 0.000 0.693 (multiplicity 4)
Sm1 0.000 0.500 0.000 (multiplicity 2)
Cd1 0.040 0.000 0.713 (multiplicity 4)
Cd2 0.182 0.000 0.343 (multiplicity 4)

Calculated volume in Å³/atom: 31.42
Formation energy from the elements in eV per atom: -0.030
E_tot in eV/atom: -3.51

Density functional theory data (GGA-PBE) for a relaxed Nd5SmCd3 crystal.

Cell: 9.4795 9.4795 7.0925 Å, 90.00 90.00 120.00°
Space group P6_3/mcm (No. 193)
Inequivalent atoms, fractional coordinates:
Nd1 0.0000 0.3346 0.2500 (multiplicity 6)
Nd2 0.3333 0.6667 0.0000 (multiplicity 4)
Sm1 0.0000 0.0000 0.0000 (multiplicity 2)
Cd1 0.0000 0.3305 0.7500 (multiplicity 6)

Calculated volume in Å³/atom: 30.66
Formation energy from the elements in eV per atom: -0.169
E_tot in eV/atom: -3.65

Density functional theory data (GGA-PBE) for a relaxed Nd3Sm4Cd crystal.

Cell: 3.671 3.671 19.534 Å, 90.00 90.00 90.00°
Space group P4/mmm (No. 123)
Inequivalent atoms, fractional coordinates:
Nd1 0.000 0.000 0.000 (multiplicity 1)
Nd2 0.000 0.000 0.264 (multiplicity 2)
Sm1 0.500 0.500 0.132 (multiplicity 2)
Sm2 0.500 0.500 0.395 (multiplicity 2)
Cd1 0.000 0.000 0.500 (multiplicity 1)

Energy above the most stable polymorph in this dataset in eV per atom: 0.0000
Calculated volume in Å³/atom: 32.91
Formation energy from the elements in eV per atom: -0.068
E_tot in eV/atom: -4.33

Density functional theory data (GGA-PBE) for a relaxed NdSm2Cd8 crystal.

Cell: 8.375 16.044 5.364 Å, 90.00 129.51 90.00°
Space group C2/m (No. 12)
Inequivalent atoms, fractional coordinates:
Nd1 0.000 0.000 0.000 (multiplicity 2)
Sm1 0.000 0.309 0.500 (multiplicity 4)
Cd1 0.000 0.201 0.000 (multiplicity 4)
Cd2 0.005 0.500 0.257 (multiplicity 4)
Cd3 0.230 0.128 0.733 (multiplicity 8)

Calculated volume in Å³/atom: 25.28
Formation energy from the elements in eV per atom: -0.280
E_tot in eV/atom: -2.24

Density functional theory data (GGA-PBE) for a relaxed Nd3Sm3Cd crystal.

Cell: 9.600 5.688 9.602 Å, 90.00 119.96 90.00°
Space group P2_1/m (No. 11)
Inequivalent atoms, fractional coordinates:
Nd1 0.023 0.250 0.131 (multiplicity 2)
Nd2 0.130 0.750 0.608 (multiplicity 2)
Nd3 0.392 0.750 0.023 (multiplicity 2)
Sm1 0.257 0.750 0.319 (multiplicity 2)
Sm2 0.319 0.250 0.562 (multiplicity 2)
Sm3 0.439 0.250 0.258 (multiplicity 2)
Cd1 0.167 0.250 0.834 (multiplicity 2)

Energy above the most stable polymorph in this dataset in eV per atom: 0.0000
Calculated volume in Å³/atom: 32.45
Formation energy from the elements in eV per atom: -0.035
E_tot in eV/atom: -4.23

Density functional theory data (GGA-PBE) for a relaxed NdSmCd5 crystal.

Cell: 7.033 7.703 7.105 Å, 90.00 90.00 90.00°
Space group Cmmm (No. 65)
Inequivalent atoms, fractional coordinates:
Nd1 0.000 0.000 0.000 (multiplicity 2)
Sm1 0.000 0.500 0.500 (multiplicity 2)
Cd1 0.000 0.000 0.500 (multiplicity 2)
Cd2 0.250 0.250 0.241 (multiplicity 8)

Calculated volume in Å³/atom: 27.49
Formation energy from the elements in eV per atom: -0.118
E_tot in eV/atom: -2.13

Density functional theory data (GGA-PBE) for a relaxed Nd3SmCd8 crystal.

Cell: 6.0083 6.0083 29.2750 Å, 90.00 90.00 120.00°
Space group R3m (No. 160, hexagonal axes)
Inequivalent atoms, fractional coordinates:
Nd1 0.0000 0.0000 0.0000 (multiplicity 3)
Nd2 0.0000 0.0000 0.1245 (multiplicity 3)
Nd3 0.0000 0.0000 0.6244 (multiplicity 3)
Sm1 0.0000 0.0000 0.5001 (multiplicity 3)
Cd1 0.0000 0.0000 0.3123 (multiplicity 3)
Cd2 0.0000 0.0000 0.8122 (multiplicity 3)
Cd3 0.0004 0.5002 0.0625 (multiplicity 9)
Cd4 0.9997 0.4999 0.5620 (multiplicity 9)

Calculated volume in Å³/atom: 25.42
Formation energy from the elements in eV per atom: -0.299
E_tot in eV/atom: -2.49

Density functional theory data (GGA-PBE) for a relaxed Nd2Sm3Cd2 crystal.

Cell: 3.652 33.131 3.614 Å, 90.00 90.00 90.00°
Space group Cmmm (No. 65)
Inequivalent atoms, fractional coordinates:
Nd1 0.000 0.203 0.000 (multiplicity 4)
Sm1 0.000 0.077 0.000 (multiplicity 4)
Sm2 0.000 0.500 0.500 (multiplicity 2)
Cd1 0.000 0.361 0.500 (multiplicity 4)

Energy above the most stable polymorph in this dataset in eV per atom: 0.0481
Calculated volume in Å³/atom: 31.23
Formation energy from the elements in eV per atom: -0.105
E_tot in eV/atom: -3.75

Density functional theory data (GGA-PBE) for a relaxed Nd6Sm2Cd crystal.

Cell: 11.494 5.124 10.805 Å, 90.00 110.22 90.00°
Space group C2/m (No. 12)
Inequivalent atoms, fractional coordinates:
Nd1 0.009 0.000 0.178 (multiplicity 4)
Nd2 0.167 0.500 0.053 (multiplicity 4)
Nd3 0.187 0.500 0.392 (multiplicity 4)
Sm1 0.156 0.500 0.716 (multiplicity 4)
Cd1 0.000 0.000 0.500 (multiplicity 2)

Calculated volume in Å³/atom: 33.17
Formation energy from the elements in eV per atom: -0.024
E_tot in eV/atom: -4.35

Density functional theory data (GGA-PBE) for a relaxed NdSm4Cd5 crystal.

Cell: 3.823 3.823 19.111 Å, 90.00 90.00 90.00°
Space group P4/mmm (No. 123)
Inequivalent atoms, fractional coordinates:
Nd1 0.000 0.000 0.000 (multiplicity 1)
Sm1 0.000 0.000 0.202 (multiplicity 2)
Sm2 0.000 0.000 0.401 (multiplicity 2)
Cd1 0.500 0.500 0.103 (multiplicity 2)
Cd2 0.500 0.500 0.301 (multiplicity 2)
Cd3 0.500 0.500 0.500 (multiplicity 1)

Calculated volume in Å³/atom: 27.93
Formation energy from the elements in eV per atom: -0.317
E_tot in eV/atom: -3.14

Density functional theory data (GGA-PBE) for a relaxed Nd5Sm5Cd2 crystal.

Cell: 12.386 5.566 11.318 Å, 90.00 90.10 90.00°
Space group C2/m (No. 12)
Inequivalent atoms, fractional coordinates:
Nd1 0.000 0.000 0.000 (multiplicity 2)
Nd2 0.020 0.500 0.751 (multiplicity 4)
Nd3 0.180 0.500 0.466 (multiplicity 4)
Sm1 0.000 0.000 0.500 (multiplicity 2)
Sm2 0.181 0.500 0.035 (multiplicity 4)
Sm3 0.183 0.000 0.249 (multiplicity 4)
Cd1 0.149 0.000 0.750 (multiplicity 4)

Calculated volume in Å³/atom: 32.51
Formation energy from the elements in eV per atom: -0.064
E_tot in eV/atom: -4.17

Density functional theory data (GGA-PBE) for a relaxed Nd6SmCd2 crystal.

Cell: 12.995 3.848 12.289 Å, 90.00 108.66 90.00°
Space group C2/m (No. 12)
Inequivalent atoms, fractional coordinates:
Nd1 0.019 0.000 0.338 (multiplicity 4)
Nd2 0.184 0.500 0.876 (multiplicity 4)
Nd3 0.189 0.500 0.588 (multiplicity 4)
Sm1 0.000 0.000 0.000 (multiplicity 2)
Cd1 0.144 0.500 0.203 (multiplicity 4)

Energy above the most stable polymorph in this dataset in eV per atom: 0.0000
Calculated volume in Å³/atom: 32.35
Formation energy from the elements in eV per atom: -0.133
E_tot in eV/atom: -4.04

Density functional theory data (GGA-PBE) for a relaxed Nd5Sm12Cd2 crystal.

Cell: 15.719 9.337 8.581 Å, 90.00 93.16 90.00°
Space group C2/m (No. 12)
Inequivalent atoms, fractional coordinates:
Nd1 0.000 0.000 0.000 (multiplicity 2)
Nd2 0.201 0.500 0.522 (multiplicity 4)
Nd3 0.233 0.000 0.073 (multiplicity 4)
Sm1 0.055 0.500 0.831 (multiplicity 4)
Sm2 0.076 0.000 0.381 (multiplicity 4)
Sm3 0.127 0.307 0.178 (multiplicity 8)
Sm4 0.144 0.184 0.736 (multiplicity 8)
Cd1 0.000 0.331 0.500 (multiplicity 4)

Calculated volume in Å³/atom: 33.10
Formation energy from the elements in eV per atom: 0.035
E_tot in eV/atom: -4.30

Density functional theory data (GGA-PBE) for a relaxed NdSmCd6 crystal.

Cell: 4.979 7.002 11.418 Å, 90.00 90.00 90.00°
Space group Amm2 (No. 38)
Inequivalent atoms, fractional coordinates:
Nd1 0.000 0.000 0.000 (multiplicity 2)
Sm1 0.500 0.000 0.300 (multiplicity 2)
Cd1 0.000 0.000 0.481 (multiplicity 2)
Cd2 0.000 0.224 0.738 (multiplicity 4)
Cd3 0.500 0.000 0.817 (multiplicity 2)
Cd4 0.500 0.222 0.563 (multiplicity 4)

Calculated volume in Å³/atom: 24.88
Formation energy from the elements in eV per atom: -0.305
E_tot in eV/atom: -2.18

Density functional theory data (GGA-PBE) for a relaxed Nd2Sm3Cd crystal.

Cell: 5.882 6.443 10.330 Å, 90.00 90.00 90.00°
Space group Immm (No. 71)
Inequivalent atoms, fractional coordinates:
Nd1 0.000 0.000 0.178 (multiplicity 4)
Sm1 0.000 0.500 0.157 (multiplicity 4)
Sm2 0.000 0.500 0.500 (multiplicity 2)
Cd1 0.000 0.000 0.500 (multiplicity 2)

Energy above the most stable polymorph in this dataset in eV per atom: 0.3246
Calculated volume in Å³/atom: 32.62
Formation energy from the elements in eV per atom: 0.227
E_tot in eV/atom: -3.87

Density functional theory data (GGA-PBE) for a relaxed Nd12SmCd6 crystal.

Cell: 11.6108 11.6108 14.9675 Å, 90.00 90.00 120.00°
Space group R-3 (No. 148, hexagonal axes)
Inequivalent atoms, fractional coordinates:
Nd1 0.0411 0.1909 0.3049 (multiplicity 18)
Nd2 0.0578 0.8398 0.9103 (multiplicity 18)
Sm1 0.0000 0.0000 0.5000 (multiplicity 3)
Cd1 0.0334 0.4420 0.2058 (multiplicity 18)

Calculated volume in Å³/atom: 30.66
Formation energy from the elements in eV per atom: -0.103
E_tot in eV/atom: -3.65

Density functional theory data (GGA-PBE) for a relaxed Nd2SmCd3 crystal.

Cell: 5.4350 5.4350 6.6503 Å, 90.00 90.00 120.00°
Space group P-3m1 (No. 164)
Inequivalent atoms, fractional coordinates:
Nd1 0.3333 0.6667 0.1687 (multiplicity 2)
Sm1 0.0000 0.0000 0.5000 (multiplicity 1)
Cd1 0.0000 0.0000 0.0000 (multiplicity 1)
Cd2 0.3333 0.6667 0.6656 (multiplicity 2)

Energy above the most stable polymorph in this dataset in eV per atom: 0.0000
Calculated volume in Å³/atom: 28.35
Formation energy from the elements in eV per atom: -0.319
E_tot in eV/atom: -3.15

Density functional theory data (GGA-PBE) for a relaxed Nd4SmCd crystal.

Cell: 3.693 3.693 14.443 Å, 90.00 90.00 90.00°
Space group P4/mmm (No. 123)
Inequivalent atoms, fractional coordinates:
Nd1 0.000 0.000 0.145 (multiplicity 2)
Nd2 0.500 0.500 0.323 (multiplicity 2)
Sm1 0.000 0.000 0.500 (multiplicity 1)
Cd1 0.500 0.500 0.000 (multiplicity 1)

Energy above the most stable polymorph in this dataset in eV per atom: 0.0000
Calculated volume in Å³/atom: 32.83
Formation energy from the elements in eV per atom: -0.097
E_tot in eV/atom: -4.21

Density functional theory data (GGA-PBE) for a relaxed Nd2SmCd crystal.

Cell: 3.6629 3.6629 33.4393 Å, 90.00 90.00 120.00°
Space group R-3m (No. 166, hexagonal axes)
Inequivalent atoms, fractional coordinates:
Nd1 0.0000 0.0000 0.2446 (multiplicity 6)
Sm1 0.0000 0.0000 0.0000 (multiplicity 3)
Cd1 0.0000 0.0000 0.5000 (multiplicity 3)

Energy above the most stable polymorph in this dataset in eV per atom: 0.0820
Calculated volume in Å³/atom: 32.38
Formation energy from the elements in eV per atom: -0.064
E_tot in eV/atom: -3.86

Density functional theory data (GGA-PBE) for a relaxed Nd2Sm8Cd crystal.

Cell: 11.426 5.111 12.737 Å, 90.00 104.27 90.00°
Space group C2/m (No. 12)
Inequivalent atoms, fractional coordinates:
Nd1 0.186 0.000 0.263 (multiplicity 4)
Sm1 0.037 0.500 0.824 (multiplicity 4)
Sm2 0.089 0.000 0.639 (multiplicity 4)
Sm3 0.139 0.500 0.452 (multiplicity 4)
Sm4 0.245 0.500 0.088 (multiplicity 4)
Cd1 0.000 0.000 0.000 (multiplicity 2)

Energy above the most stable polymorph in this dataset in eV per atom: 0.0000
Calculated volume in Å³/atom: 32.77
Formation energy from the elements in eV per atom: -0.017
E_tot in eV/atom: -4.40